Record 1
AcTePtO6: relaxed, GGA-PBE.

Summary:
- space group = P-31c, No. 163
- E_form (uncorrected) (eV per atom) = -1.52
- Fermi-level density of states (states/eV per cell) = 7.1
- mass density (g cm⁻³) = 7.82
- total magnetic moment (μB/cell) = 2.053

a b c (Å): 5.448 5.448 10.668
angles (deg): 90.00 90.00 120.00
Element x y z (fractional)
Ac1 0.000 0.000 0.000
Ac2 0.000 0.000 0.500
Te1 0.333 0.667 0.250
Te2 0.667 0.333 0.750
Pt1 0.333 0.667 0.750
Pt2 0.667 0.333 0.250
O1 0.023 0.380 0.146
O2 0.023 0.644 0.354
O3 0.356 0.380 0.354
O4 0.356 0.977 0.146
O5 0.380 0.023 0.646
O6 0.380 0.356 0.854
O7 0.620 0.644 0.146
O8 0.620 0.977 0.354
O9 0.644 0.023 0.854
O10 0.644 0.620 0.646
O11 0.977 0.356 0.646
O12 0.977 0.620 0.854

Record 2
PdPt3Rh4: relaxed, GGA-PBE.

Summary:
- formation energy (meV/atom) = 9
- space group = C2/m, No. 12
- Fermi-level density of states (states/eV per cell) = 31.6
- mass density (g cm⁻³) = 15.41
- total magnetic moment (μB/cell) = 0.007

a b c (Å): 8.694 3.910 7.826
angles (deg): 90.00 116.67 90.00
Element x y z (fractional)
Pd1 0.000 0.000 0.000
Pd2 0.500 0.500 0.000
Pt1 0.000 0.000 0.500
Pt2 0.001 0.500 0.750
Pt3 0.499 0.000 0.250
Pt4 0.500 0.500 0.500
Pt5 0.501 0.000 0.750
Pt6 0.999 0.500 0.250
Rh1 0.250 0.000 0.375
Rh2 0.250 0.000 0.875
Rh3 0.250 0.500 0.125
Rh4 0.250 0.500 0.625
Rh5 0.750 0.000 0.125
Rh6 0.750 0.000 0.625
Rh7 0.750 0.500 0.375
Rh8 0.750 0.500 0.875

Record 3
La8Dy2Tm3: relaxed, GGA-PBE.

Summary:
- formation energy (meV/atom) = 176
- space group = P2/m, No. 10
- Fermi-level density of states (states/eV per cell) = 15.9
- mass density (g cm⁻³) = 6.97
- total magnetic moment (μB/cell) = 0.000

a b c (Å): 7.862 5.805 10.701
angles (deg): 90.00 108.47 90.00
Element x y z (fractional)
La1 0.095 0.000 0.298
La2 0.135 0.500 0.850
La3 0.306 0.000 0.716
La4 0.385 0.500 0.241
La5 0.615 0.500 0.759
La6 0.694 0.000 0.284
La7 0.865 0.500 0.150
La8 0.905 0.000 0.702
Dy1 0.242 0.000 0.024
Dy2 0.758 0.000 0.976
Tm1 0.216 0.500 0.507
Tm2 0.500 0.000 0.500
Tm3 0.784 0.500 0.493